No. 1
LaEr4Pb5 PBE-GGA optimized geometry; energy relative to the elements = -0.3116 eV per atom; V = 31.7 Å³/atom
1.0
-5.2983 -0.4969 -3.4329
-6.0524 -2.8458 3.9120
-4.4988 6.3054 0.1895
La Er Pb
1 4 5
Cartesian
-0.0197 -0.0018 -0.0128
-8.1696 3.7798 0.3743
-11.8190 1.0664 0.5585
-4.0351 1.8958 0.1071
-7.6846 -0.8175 0.2912
-10.7997 3.3351 -1.3407
-9.0623 1.3242 2.1101
-6.7896 1.6383 -1.4430
-5.0523 -0.3726 2.0078
-2.6697 -0.2504 -1.7298

No. 2
La5Er4Pb4 PBE-GGA optimized geometry; energy relative to the elements = -0.4203 eV per atom; V = 32.8 Å³/atom
1.0
-1.5531 1.9673 -3.9827
-2.2842 -7.6694 -5.6777
-9.6411 1.0429 1.4948
La Er Pb
5 4 4
Cartesian
-9.6833 -4.9217 -6.9952
-3.7950 0.2626 -1.1704
0.0000 0.0000 0.0000
-3.3277 -3.8601 -6.1691
-10.1506 -0.7990 -1.9964
-9.1446 -1.3490 -5.4405
-6.4768 -0.7419 -3.4008
-4.3338 -3.3102 -2.7251
-7.0015 -3.9172 -4.7647
-3.4781 -0.7467 -4.5726
-10.0003 -3.9125 -3.5930
-6.3808 -4.2676 -7.9599
-7.0975 -0.3915 -0.2057

No. 3
La2Er3Pb PBE-GGA optimized geometry; energy relative to the elements = -0.1484 eV per atom; V = 31.2 Å³/atom
1.0
-3.1015 -3.4998 -1.5441
3.7626 -3.1983 -0.3084
-3.0982 -0.5346 7.4348
La Er Pb
2 3 1
Cartesian
1.4782 -2.3059 2.2573
-0.8139 -1.4270 4.8691
-1.9424 -2.4366 1.5711
0.3305 -3.3490 -0.9263
-0.4948 -4.7961 4.0112
0.0000 0.0000 0.0000